This record from the Alexandria database describes a crystal of TbBPd3 relaxed with PBEsol. The functional is meta-GGA SCAN.

Lattice parameters (Å, degrees): 4.259 4.259 4.259 90.00 90.00 90.00
Fractional positions:
Tb: 0.000 0.000 0.000
B: 0.500 0.500 0.500
Pd: 0.000 0.500 0.500
Pd: 0.500 0.000 0.500
Pd: 0.500 0.500 0.000

## Properties
For the raw total energy, the calculation gives -31.175 eV per atom. The formation energy is -64.9 kJ/mol of atoms. As for the density of states at the Fermi level: 3.1 states/eV/f.u. Its density is 10.51 g cm⁻³.